Density functional theory data (PBE) for crystalline CrTc4As at its relaxed geometry.

```
CrTc4As
1.0
0.0000 3.6288 3.6288
3.6288 0.0000 3.6288
3.6288 3.6288 0.0000
Cr Tc As
1 4 1
direct
0.0000 0.0000 0.0000
0.1252 0.6249 0.6249
0.6249 0.1252 0.6249
0.6249 0.6249 0.1252
0.6249 0.6249 0.6249
0.2500 0.2500 0.2500
```

Output
Mass density: 9.02 g/cm3
E_form: 0.566 eV per atom


Density functional theory data (PBE) for crystalline Tm5Th4Cd at its relaxed geometry.

```
Tm5Th4Cd
1.0
3.5640 0.0000 0.0000
0.0000 3.5640 0.0000
0.0000 0.0000 23.6479
Tm Th Cd
5 4 1
direct
0.0000 0.0000 0.0000
0.0000 0.0000 0.2084
0.0000 0.0000 0.4147
0.0000 0.0000 0.5853
0.0000 0.0000 0.7916
0.5000 0.5000 0.1041
0.5000 0.5000 0.3131
0.5000 0.5000 0.6869
0.5000 0.5000 0.8959
0.5000 0.5000 0.5000
```

Output
Mass density: 10.42 g/cm3
E_form: -0.047 eV per atom


Density functional theory data (PBE) for crystalline SrSi2Se at its relaxed geometry.

```
SrSi2Se
1.0
-1.7651 2.8977 4.5642
1.7651 -2.8977 4.5642
1.7651 2.8977 -4.5642
Sr Si Se
1 2 1
direct
0.0000 0.0000 0.0000
0.5195 0.5195 0.0000
0.6990 0.1990 0.5000
0.3155 0.8155 0.5000
```

Output
Mass density: 3.96 g/cm3
Formation energy without anion corrections: -0.1715 eV/atom